No. 1
# NdSc2Sn, optimized geometry, DFT PBE
data_NdSc2Sn
_cell_length_a 3.685
_cell_length_b 3.685
_cell_length_c 7.670
_cell_angle_alpha 90.00
_cell_angle_beta 90.00
_cell_angle_gamma 90.00
_space_group_name_H-M_alt 'P 1'
_space_group_IT_number 1
_space_group_name_Hall 'P 1'
loop_
_atom_site_label
_atom_site_type_symbol
_atom_site_fract_x
_atom_site_fract_y
_atom_site_fract_z
Nd1 Nd 0.000 0.000 0.000
Sc1 Sc 0.500 0.500 0.288
Sc2 Sc 0.500 0.500 0.712
Sn1 Sn 0.000 0.000 0.500
# total DFT energy (no corrections): -22.55 eV for the cell shown
# formation energy: -1.116 eV per formula unit
# N(E_F): 5.5 states/eV per cell
# symmetry: P4/mmm (123)

---

No. 2
# Nd3Sc2Sn4, optimized geometry, DFT PBE
data_Nd3Sc2Sn4
_cell_length_a 6.887
_cell_length_b 6.887
_cell_length_c 9.563
_cell_angle_alpha 112.69
_cell_angle_beta 112.69
_cell_angle_gamma 38.57
_space_group_name_H-M_alt 'P 1'
_space_group_IT_number 1
_space_group_name_Hall 'P 1'
loop_
_atom_site_label
_atom_site_type_symbol
_atom_site_fract_x
_atom_site_fract_y
_atom_site_fract_z
Nd1 Nd 0.000 0.000 0.000
Nd2 Nd 0.377 0.377 0.305
Nd3 Nd 0.623 0.623 0.695
Sc1 Sc 0.313 0.313 0.642
Sc2 Sc 0.687 0.687 0.358
Sn1 Sn 0.074 0.074 0.406
Sn2 Sn 0.295 0.295 0.933
Sn3 Sn 0.705 0.705 0.067
Sn4 Sn 0.926 0.926 0.594
# total DFT energy (no corrections): -48.87 eV for the cell shown
# formation energy: -5.888 eV per formula unit
# N(E_F): 6.0 states/eV per cell
# symmetry: C2/m (12)

---

No. 3
# Nd2Sc2Sn7, optimized geometry, DFT PBE
data_Nd2Sc2Sn7
_cell_length_a 7.353
_cell_length_b 7.353
_cell_length_c 6.253
_cell_angle_alpha 90.00
_cell_angle_beta 90.00
_cell_angle_gamma 97.56
_space_group_name_H-M_alt 'P 1'
_space_group_IT_number 1
_space_group_name_Hall 'P 1'
loop_
_atom_site_label
_atom_site_type_symbol
_atom_site_fract_x
_atom_site_fract_y
_atom_site_fract_z
Nd1 Nd 0.187 0.187 0.000
Nd2 Nd 0.813 0.813 0.000
Sc1 Sc 0.257 0.743 0.500
Sc2 Sc 0.743 0.257 0.500
Sn1 Sn 0.000 0.000 0.500
Sn2 Sn 0.000 0.500 0.239
Sn3 Sn 0.000 0.500 0.761
Sn4 Sn 0.500 0.000 0.239
Sn5 Sn 0.500 0.000 0.761
Sn6 Sn 0.500 0.500 0.240
Sn7 Sn 0.500 0.500 0.760
# total DFT energy (no corrections): -52.37 eV for the cell shown
# formation energy: -2.147 eV per formula unit
# N(E_F): 9.1 states/eV per cell
# symmetry: Cmmm (65)

---

No. 4
# Nd4ScSn2, optimized geometry, DFT PBE
data_Nd4ScSn2
_cell_length_a 9.744
_cell_length_b 9.744
_cell_length_c 9.744
_cell_angle_alpha 32.49
_cell_angle_beta 32.49
_cell_angle_gamma 32.49
_space_group_name_H-M_alt 'P 1'
_space_group_IT_number 1
_space_group_name_Hall 'P 1'
loop_
_atom_site_label
_atom_site_type_symbol
_atom_site_fract_x
_atom_site_fract_y
_atom_site_fract_z
Nd1 Nd 0.126 0.126 0.126
Nd2 Nd 0.280 0.280 0.280
Nd3 Nd 0.720 0.720 0.720
Nd4 Nd 0.874 0.874 0.874
Sc1 Sc 0.500 0.500 0.500
Sn1 Sn 0.396 0.396 0.396
Sn2 Sn 0.604 0.604 0.604
# total DFT energy (no corrections): -35.43 eV for the cell shown
# formation energy: -2.020 eV per formula unit
# N(E_F): 9.3 states/eV per cell
# symmetry: R-3m (166)

---

No. 5
# Nd3ScSn2, optimized geometry, DFT PBE
data_Nd3ScSn2
_cell_length_a 9.129
_cell_length_b 9.129
_cell_length_c 9.129
_cell_angle_alpha 151.65
_cell_angle_beta 149.86
_cell_angle_gamma 41.85
_space_group_name_H-M_alt 'P 1'
_space_group_IT_number 1
_space_group_name_Hall 'P 1'
loop_
_atom_site_label
_atom_site_type_symbol
_atom_site_fract_x
_atom_site_fract_y
_atom_site_fract_z
Nd1 Nd 0.000 0.000 0.000
Nd2 Nd 0.177 0.677 0.500
Nd3 Nd 0.823 0.323 0.500
Sc1 Sc 0.500 0.500 0.000
Sn1 Sn 0.368 0.868 0.500
Sn2 Sn 0.632 0.132 0.500
# total DFT energy (no corrections): -32.24 eV for the cell shown
# formation energy: -3.600 eV per formula unit
# N(E_F): 7.3 states/eV per cell
# symmetry: Immm (71)

---

No. 6
# NdSc2Sn, optimized geometry, DFT PBE
data_NdSc2Sn
_cell_length_a 6.360
_cell_length_b 6.360
_cell_length_c 8.758
_cell_angle_alpha 90.00
_cell_angle_beta 90.00
_cell_angle_gamma 141.41
_space_group_name_H-M_alt 'P 1'
_space_group_IT_number 1
_space_group_name_Hall 'P 1'
loop_
_atom_site_label
_atom_site_type_symbol
_atom_site_fract_x
_atom_site_fract_y
_atom_site_fract_z
Nd1 Nd 0.053 0.947 0.750
Nd2 Nd 0.947 0.053 0.250
Sc1 Sc 0.363 0.637 0.550
Sc2 Sc 0.363 0.637 0.950
Sc3 Sc 0.637 0.363 0.050
Sc4 Sc 0.637 0.363 0.450
Sn1 Sn 0.237 0.763 0.250
Sn2 Sn 0.763 0.237 0.750
# total DFT energy (no corrections): -45.89 eV for the cell shown
# formation energy: -1.513 eV per formula unit
# N(E_F): 12.1 states/eV per cell
# symmetry: Cmcm (63)

---

No. 7
# Nd2Sc3Sn4, optimized geometry, DFT PBE
data_Nd2Sc3Sn4
_cell_length_a 8.016
_cell_length_b 8.032
_cell_length_c 7.814
_cell_angle_alpha 90.00
_cell_angle_beta 110.14
_cell_angle_gamma 90.00
_space_group_name_H-M_alt 'P 1'
_space_group_IT_number 1
_space_group_name_Hall 'P 1'
loop_
_atom_site_label
_atom_site_type_symbol
_atom_site_fract_x
_atom_site_fract_y
_atom_site_fract_z
Nd1 Nd 0.192 0.175 0.061
Nd2 Nd 0.192 0.325 0.561
Nd3 Nd 0.808 0.675 0.439
Nd4 Nd 0.808 0.825 0.939
Sc1 Sc 0.250 0.663 0.246
Sc2 Sc 0.250 0.837 0.746
Sc3 Sc 0.500 0.000 0.500
Sc4 Sc 0.500 0.500 0.000
Sc5 Sc 0.750 0.163 0.254
Sc6 Sc 0.750 0.337 0.754
Sn1 Sn 0.086 0.545 0.850
Sn2 Sn 0.086 0.955 0.350
Sn3 Sn 0.497 0.136 0.861
Sn4 Sn 0.497 0.364 0.361
Sn5 Sn 0.503 0.636 0.639
Sn6 Sn 0.503 0.864 0.139
Sn7 Sn 0.914 0.045 0.650
Sn8 Sn 0.914 0.455 0.150
# total DFT energy (no corrections): -102.96 eV for the cell shown
# formation energy: -6.937 eV per formula unit
# N(E_F): 14.5 states/eV per cell
# symmetry: P2_1/c (14)

---

No. 8
# Nd2Sc3Sn4, optimized geometry, DFT PBE
data_Nd2Sc3Sn4
_cell_length_a 8.996
_cell_length_b 8.996
_cell_length_c 8.653
_cell_angle_alpha 90.00
_cell_angle_beta 90.00
_cell_angle_gamma 136.54
_space_group_name_H-M_alt 'P 1'
_space_group_IT_number 1
_space_group_name_Hall 'P 1'
loop_
_atom_site_label
_atom_site_type_symbol
_atom_site_fract_x
_atom_site_fract_y
_atom_site_fract_z
Nd1 Nd 0.113 0.887 0.913
Nd2 Nd 0.387 0.613 0.413
Nd3 Nd 0.613 0.387 0.587
Nd4 Nd 0.887 0.113 0.087
Sc1 Sc 0.000 0.000 0.500
Sc2 Sc 0.040 0.460 0.750
Sc3 Sc 0.460 0.040 0.250
Sc4 Sc 0.500 0.500 0.000
Sc5 Sc 0.540 0.960 0.750
Sc6 Sc 0.960 0.540 0.250
Sn1 Sn 0.187 0.813 0.552
Sn2 Sn 0.213 0.287 0.750
Sn3 Sn 0.287 0.213 0.250
Sn4 Sn 0.313 0.687 0.052
Sn5 Sn 0.687 0.313 0.948
Sn6 Sn 0.713 0.787 0.750
Sn7 Sn 0.787 0.713 0.250
Sn8 Sn 0.813 0.187 0.448
# total DFT energy (no corrections): -100.95 eV for the cell shown
# formation energy: -5.934 eV per formula unit
# N(E_F): 11.6 states/eV per cell
# symmetry: Cmce (64)

---

No. 9
# NdSc2Sn2, optimized geometry, DFT PBE
data_NdSc2Sn2
_cell_length_a 7.314
_cell_length_b 7.314
_cell_length_c 7.314
_cell_angle_alpha 143.93
_cell_angle_beta 143.93
_cell_angle_gamma 51.93
_space_group_name_H-M_alt 'P 1'
_space_group_IT_number 1
_space_group_name_Hall 'P 1'
loop_
_atom_site_label
_atom_site_type_symbol
_atom_site_fract_x
_atom_site_fract_y
_atom_site_fract_z
Nd1 Nd 0.000 0.000 0.000
Sc1 Sc 0.250 0.750 0.500
Sc2 Sc 0.750 0.250 0.500
Sn1 Sn 0.392 0.392 0.000
Sn2 Sn 0.608 0.608 0.000
# total DFT energy (no corrections): -28.34 eV for the cell shown
# formation energy: -2.901 eV per formula unit
# N(E_F): 5.0 states/eV per cell
# symmetry: I4/mmm (139)

---

No. 10
# NdSc2Sn, optimized geometry, DFT PBE
data_NdSc2Sn
_cell_length_a 4.701
_cell_length_b 4.701
_cell_length_c 4.600
_cell_angle_alpha 90.00
_cell_angle_beta 90.00
_cell_angle_gamma 90.00
_space_group_name_H-M_alt 'P 1'
_space_group_IT_number 1
_space_group_name_Hall 'P 1'
loop_
_atom_site_label
_atom_site_type_symbol
_atom_site_fract_x
_atom_site_fract_y
_atom_site_fract_z
Nd1 Nd 0.000 0.000 0.000
Sc1 Sc 0.000 0.500 0.500
Sc2 Sc 0.500 0.000 0.500
Sn1 Sn 0.500 0.500 0.000
# total DFT energy (no corrections): -23.02 eV for the cell shown
# formation energy: -1.584 eV per formula unit
# N(E_F): 6.1 states/eV per cell
# symmetry: P4/mmm (123)

---

No. 11
# NdSc2Sn, optimized geometry, DFT PBE
data_NdSc2Sn
_cell_length_a 11.421
_cell_length_b 11.421
_cell_length_c 11.421
_cell_angle_alpha 16.80
_cell_angle_beta 16.80
_cell_angle_gamma 16.80
_space_group_name_H-M_alt 'P 1'
_space_group_IT_number 1
_space_group_name_Hall 'P 1'
loop_
_atom_site_label
_atom_site_type_symbol
_atom_site_fract_x
_atom_site_fract_y
_atom_site_fract_z
Nd1 Nd 0.000 0.000 0.000
Sc1 Sc 0.096 0.096 0.096
Sc2 Sc 0.904 0.904 0.904
Sn1 Sn 0.500 0.500 0.500
# total DFT energy (no corrections): -21.40 eV for the cell shown
# formation energy: 0.030 eV per formula unit
# N(E_F): 6.7 states/eV per cell
# symmetry: R-3m (166)

---

> total DFT energy (no corrections) of number 2 (Nd3Sc2Sn4)?

-48.87 eV for the cell shown

---

> Which value of N(E_F) does entry 4 give?

9.3 states/eV per cell